The following is a GGA+U calculation of an optimized crystal structure of ZrTe2WO, from Alexandria.

Cell lengths 5.6233, 5.6233, 3.8186 Å; angles 90.00, 90.00, 90.00 degrees
Last column: nearest neighbours and their distance in Å.
Fractional positions:
Zr: 0.5000 0.5000 0.5000  8 Te 3.40
Te: 0.5000 0.0000 0.0000  2 W 2.81
Te: 0.0000 0.5000 0.0000  2 W 2.81
O: 0.0000 0.0000 0.5000  2 W 1.91
W: 0.0000 0.0000 0.0000  2 O 1.91

Values from the calculation:
The final energy comes out at -5.6937 eV per atom. The total magnetization comes out at 0.694 μB per atom.